(1)
First-principles (GGA-PBE) data for a relaxed LiNdCoSe3 crystal, as listed in OQMD via LeMat-Bulk.

As for the crystal system: orthorhombic. For the uncorrected energy, the calculation gives -121.5 eV for the cell shown. The calculated volume comes out at 140.0 Å³/f.u.

Cell: 3.9879 12.5830 11.1618 Å, 90.00 90.00 90.00°
Last column: nearest neighbours and their distance in Å.
Space group Cmcm (No. 63)
Unique sites:
Li1 0.0000 0.2219 0.2500 (multiplicity 4)  6 Se 2.83-3.14
Nd1 0.0000 0.0000 0.0000 (multiplicity 4)  6 Se 2.92-2.99
Co1 0.0000 0.4751 0.7500 (multiplicity 4)  4 Se 2.38-2.43
Se1 0.0000 0.0856 0.7500 (multiplicity 4)  2 Co 2.43
Se2 0.0000 0.3498 0.5899 (multiplicity 8)  1 Co 2.38



(2)
First-principles (GGA-PBE) data for a relaxed LiNdCoTe3 crystal, as listed in OQMD via LeMat-Bulk.

As for the crystal system: orthorhombic. For the uncorrected energy, the calculation gives -110.4 eV for the cell shown. The calculated volume comes out at 168.5 Å³/f.u.

Cell: 4.1292 14.0664 11.6020 Å, 90.00 90.00 90.00°
Last column: nearest neighbours and their distance in Å.
Space group Cmcm (No. 63)
Unique sites:
Li1 0.0000 0.1891 0.2500 (multiplicity 4)  4 Te 2.86, 2 Co 3.07
Nd1 0.0000 0.0000 0.0000 (multiplicity 4)  6 Te 3.13
Co1 0.0000 0.4729 0.7500 (multiplicity 4)  4 Te 2.58-2.60
Te1 0.0000 0.0831 0.7500 (multiplicity 4)  2 Co 2.58
Te2 0.0000 0.3478 0.5850 (multiplicity 8)  1 Co 2.60, 2 Li 2.86



(3)
First-principles (GGA-PBE) data for a relaxed LiCoNiP2 crystal, as listed in OQMD via LeMat-Bulk.

As for the crystal system: tetragonal. For the uncorrected energy, the calculation gives -57.0 eV for the cell shown. The calculated volume comes out at 62.8 Å³/f.u.

Cell: 3.6951 3.6951 9.1969 Å, 90.00 90.00 90.00°
Last column: nearest neighbours and their distance in Å.
Space group I-4m2 (No. 119)
Unique sites:
Li1 0.0000 0.0000 0.0000 (multiplicity 2)  8 P 2.83, 4 Co 2.95, 4 Ni 2.95
Co1 0.0000 0.5000 0.7500 (multiplicity 2)  4 P 2.21
Ni1 0.0000 0.5000 0.2500 (multiplicity 2)  4 P 2.21
P1 0.0000 0.0000 0.3828 (multiplicity 4)  1 P 2.16, 2 Co 2.21, 2 Ni 2.21